# MgPa3Ni8 | Alexandria via LeMat-Bulk | PBE | relaxed
data_MgPa3Ni8
_chemical_formula_sum 'Mg3 Pa9 Ni24'
_cell_length_a 4.9842
_cell_length_b 4.9842
_cell_length_c 24.5644
_cell_angle_alpha 90.00
_cell_angle_beta 90.00
_cell_angle_gamma 120.00
_symmetry_space_group_name_H-M 'R 3 m'
_symmetry_Int_Tables_number 160
_symmetry_space_group_name_Hall 'R 3 -2"'
loop_
_atom_site_label
_atom_site_type_symbol
_atom_site_fract_x
_atom_site_fract_y
_atom_site_fract_z
Mg1 Mg 0.0000 0.0000 0.0000
Pa1 Pa 0.0000 0.0000 0.3739
Pa2 Pa 0.0000 0.0000 0.5001
Pa3 Pa 0.0000 0.0000 0.8759
Ni1 Ni 0.0000 0.0000 0.1874
Ni2 Ni 0.0000 0.0000 0.6871
Ni3 Ni 0.1673 0.3345 0.2722
Ni4 Ni 0.1685 0.3371 0.7692
# ΔH_f (0 K)	-389	meV/atom
# volume	14.68	Å³ per atom
# mass density	11.19	g/cm³
# polymorph energy (0 for the lowest one)	0	meV/atom